# 1
Compound: Sm2ZnAu2
Source: Alexandria
Functional: PBE
Structure: optimized geometry

Values from the calculation:
- total magnetization (μB per formula unit) = 0.0
- crystal system = orthorhombic
- Fermi-level density of states (states/eV/f.u.) = 3.756
- ΔH_f (0 K) (eV per atom) = -0.5850

The structure in CIF format:
```
data_Sm2ZnAu2
_chemical_formula_sum 'Sm8 Zn4 Au8'
_cell_length_a 4.0656
_cell_length_b 16.7290
_cell_length_c 7.5373
_cell_angle_alpha 90.00
_cell_angle_beta 90.00
_cell_angle_gamma 90.00
_symmetry_space_group_name_H-M 'C m c 21'
_symmetry_Int_Tables_number 36
loop_
_symmetry_equiv_pos_as_xyz
'x,y,z'
'-x,-y,z+1/2'
'-x,y,z'
'x,-y,z+1/2'
'x+1/2,y+1/2,z'
'-x+1/2,-y+1/2,z+1/2'
'-x+1/2,y+1/2,z'
'x+1/2,-y+1/2,z+1/2'
loop_
_atom_site_label
_atom_site_fract_x
_atom_site_fract_y
_atom_site_fract_z
Sm1 0.0000 0.0341 0.0000
Sm2 0.0000 0.1987 0.4066
Zn1 0.0000 0.4075 0.1672
Au1 0.0000 0.1825 0.7896
Au2 0.0000 0.4302 0.7963
```

---

# 2
Compound: Sm6ZnAu5
Source: Alexandria
Functional: PBE
Structure: optimized geometry

Values from the calculation:
- total magnetization (μB per formula unit) = 0.0
- crystal system = orthorhombic
- Fermi-level density of states (states/eV/f.u.) = 7.486
- ΔH_f (0 K) (eV per atom) = -0.7192

The structure in CIF format:
```
data_Sm6ZnAu5
_chemical_formula_sum 'Sm12 Zn2 Au10'
_cell_length_a 5.1960
_cell_length_b 15.6682
_cell_length_c 7.2948
_cell_angle_alpha 90.00
_cell_angle_beta 90.00
_cell_angle_gamma 90.00
_symmetry_space_group_name_H-M 'C m m m'
_symmetry_Int_Tables_number 65
_symmetry_space_group_name_Hall '-C 2 2'
loop_
_atom_site_label
_atom_site_fract_x
_atom_site_fract_y
_atom_site_fract_z
Sm1 0.0000 0.0000 0.2456
Sm2 0.0000 0.3323 0.2512
Zn1 0.0000 0.5000 0.5000
Au1 0.0000 0.1563 0.5000
Au2 0.0000 0.1686 0.0000
Au3 0.0000 0.5000 0.0000
```

---

# 3
Compound: SmZn4Au2
Source: Alexandria
Functional: PBE
Structure: optimized geometry

Values from the calculation:
- total magnetization (μB per formula unit) = 0.0
- crystal system = orthorhombic
- Fermi-level density of states (states/eV/f.u.) = 3.174
- distance to the lowest polymorph of the same formula (meV per atom) = 33
- ΔH_f (0 K) (eV per atom) = -0.3795

The structure in CIF format:
```
data_SmZn4Au2
_chemical_formula_sum 'Sm2 Zn8 Au4'
_cell_length_a 4.0588
_cell_length_b 16.1931
_cell_length_c 4.0319
_cell_angle_alpha 90.00
_cell_angle_beta 90.00
_cell_angle_gamma 90.00
_symmetry_space_group_name_H-M 'C m m m'
_symmetry_Int_Tables_number 65
_symmetry_space_group_name_Hall '-C 2 2'
loop_
_atom_site_label
_atom_site_fract_x
_atom_site_fract_y
_atom_site_fract_z
Sm1 0.0000 0.0000 0.0000
Zn1 0.0000 0.1907 0.5000
Zn2 0.0000 0.3068 0.0000
Au1 0.0000 0.4145 0.5000
```

---

# 4
Compound: SmZn3Au3
Source: Alexandria
Functional: PBE
Structure: optimized geometry

Values from the calculation:
- total magnetization (μB per formula unit) = 0.0
- crystal system = trigonal
- Fermi-level density of states (states/eV/f.u.) = 3.207
- distance to the lowest polymorph of the same formula (meV per atom) = 0
- ΔH_f (0 K) (eV per atom) = -0.3810

The structure in CIF format:
```
data_SmZn3Au3
_chemical_formula_sum 'Sm6 Zn18 Au18'
_cell_length_a 7.0877
_cell_length_b 7.0877
_cell_length_c 18.8896
_cell_angle_alpha 90.00
_cell_angle_beta 90.00
_cell_angle_gamma 120.00
_symmetry_space_group_name_H-M 'R -3'
_symmetry_Int_Tables_number 148
_symmetry_space_group_name_Hall '-R 3'
loop_
_atom_site_label
_atom_site_fract_x
_atom_site_fract_y
_atom_site_fract_z
Sm1 0.0000 0.0000 0.1612
Zn1 0.0194 0.6005 0.3742
Au1 0.0026 0.7621 0.5694
```

---

# 5
Compound: SmZn2Au3
Source: Alexandria
Functional: PBE
Structure: optimized geometry

Values from the calculation:
- total magnetization (μB per formula unit) = 0.0
- crystal system = orthorhombic
- Fermi-level density of states (states/eV/f.u.) = 2.037
- ΔH_f (0 K) (eV per atom) = -0.4689

The structure in CIF format:
```
data_SmZn2Au3
_chemical_formula_sum 'Sm4 Zn8 Au12'
_cell_length_a 9.7965
_cell_length_b 9.1784
_cell_length_c 5.3571
_cell_angle_alpha 90.00
_cell_angle_beta 90.00
_cell_angle_gamma 90.00
_symmetry_space_group_name_H-M 'C m c m'
_symmetry_Int_Tables_number 63
_symmetry_space_group_name_Hall '-C 2c 2'
loop_
_atom_site_label
_atom_site_fract_x
_atom_site_fract_y
_atom_site_fract_z
Sm1 0.0000 0.1982 0.2500
Zn1 0.2372 0.5000 0.0000
Au1 0.0000 0.4616 0.7500
Au2 0.1735 0.2208 0.7500
```

---

# 6
Compound: SmZn4Au
Source: Alexandria
Functional: PBE
Structure: optimized geometry

Values from the calculation:
- total magnetization (μB per formula unit) = 0.0
- crystal system = cubic
- Fermi-level density of states (states/eV/f.u.) = 4.881
- distance to the lowest polymorph of the same formula (meV per atom) = 101
- ΔH_f (0 K) (eV per atom) = -0.2259

The structure in CIF format:
```
data_SmZn4Au
_chemical_formula_sum 'Sm4 Zn16 Au4'
_cell_length_a 7.5676
_cell_length_b 7.5676
_cell_length_c 7.5676
_cell_angle_alpha 90.00
_cell_angle_beta 90.00
_cell_angle_gamma 90.00
_symmetry_space_group_name_H-M 'F -4 3 m'
_symmetry_Int_Tables_number 216
_symmetry_space_group_name_Hall 'F -4 2 3'
loop_
_atom_site_label
_atom_site_fract_x
_atom_site_fract_y
_atom_site_fract_z
Sm1 0.0000 0.0000 0.0000
Zn1 0.1247 0.1247 0.3753
Au1 0.2500 0.2500 0.7500
```

---

# 7
Compound: Sm2Zn3Au5
Source: Alexandria
Functional: PBE
Structure: optimized geometry

Values from the calculation:
- total magnetization (μB per formula unit) = 0.0
- crystal system = orthorhombic
- Fermi-level density of states (states/eV/f.u.) = 4.985
- distance to the lowest polymorph of the same formula (meV per atom) = 19
- ΔH_f (0 K) (eV per atom) = -0.5226

The structure in CIF format:
```
data_Sm2Zn3Au5
_chemical_formula_sum 'Sm8 Zn12 Au20'
_cell_length_a 10.6511
_cell_length_b 13.2420
_cell_length_c 5.7663
_cell_angle_alpha 90.00
_cell_angle_beta 90.00
_cell_angle_gamma 90.00
_symmetry_space_group_name_H-M 'I b a m'
_symmetry_Int_Tables_number 72
_symmetry_space_group_name_Hall '-I 2 2c'
loop_
_atom_site_label
_atom_site_fract_x
_atom_site_fract_y
_atom_site_fract_z
Sm1 0.2192 0.1450 0.0000
Zn1 0.0000 0.5000 0.2500
Zn2 0.0908 0.1500 0.5000
Au1 0.0000 0.0000 0.2500
Au2 0.0000 0.2957 0.2500
Au3 0.1866 0.4191 0.0000
```

---

# 8
Compound: Sm2ZnAu2
Source: Alexandria
Functional: PBE
Structure: optimized geometry

Values from the calculation:
- total magnetization (μB per formula unit) = 0.0
- crystal system = triclinic
- Fermi-level density of states (states/eV/f.u.) = 4.108
- ΔH_f (0 K) (eV per atom) = -0.6803

The structure in CIF format:
```
data_Sm2ZnAu2
_chemical_formula_sum 'Sm4 Zn2 Au4'
_cell_length_a 4.4215
_cell_length_b 5.8045
_cell_length_c 10.1460
_cell_angle_alpha 88.75
_cell_angle_beta 77.51
_cell_angle_gamma 67.78
_symmetry_space_group_name_H-M 'P -1'
_symmetry_Int_Tables_number 2
loop_
_symmetry_equiv_pos_as_xyz
'x,y,z'
'-x,-y,-z'
loop_
_atom_site_label
_atom_site_fract_x
_atom_site_fract_y
_atom_site_fract_z
Sm1 0.0781 0.2366 0.1098
Sm2 0.3275 0.1852 0.6591
Zn1 0.3747 0.4095 0.3419
Au1 0.0763 0.7753 0.5720
Au2 0.3525 0.6777 0.1179
```

---

# 9
Compound: Sm5Zn2Au
Source: Alexandria
Functional: PBE
Structure: optimized geometry

Values from the calculation:
- total magnetization (μB per formula unit) = 0.0
- crystal system = tetragonal
- Fermi-level density of states (states/eV/f.u.) = 9.908
- ΔH_f (0 K) (eV per atom) = -0.3386

The structure in CIF format:
```
data_Sm5Zn2Au
_chemical_formula_sum 'Sm20 Zn8 Au4'
_cell_length_a 7.4044
_cell_length_b 7.4044
_cell_length_c 15.8464
_cell_angle_alpha 90.00
_cell_angle_beta 90.00
_cell_angle_gamma 90.00
_symmetry_space_group_name_H-M 'I 4/m c m'
_symmetry_Int_Tables_number 140
_symmetry_space_group_name_Hall '-I 4 2c'
loop_
_atom_site_label
_atom_site_fract_x
_atom_site_fract_y
_atom_site_fract_z
Sm1 0.0000 0.0000 0.0000
Sm2 0.1715 0.3285 0.1508
Zn1 0.1201 0.3799 0.5000
Au1 0.0000 0.0000 0.2500
```

---

# 10
Compound: Sm2Zn5Au
Source: Alexandria
Functional: PBE
Structure: optimized geometry

Values from the calculation:
- total magnetization (μB per formula unit) = 0.0
- crystal system = orthorhombic
- Fermi-level density of states (states/eV/f.u.) = 3.599
- ΔH_f (0 K) (eV per atom) = -0.4352

The structure in CIF format:
```
data_Sm2Zn5Au
_chemical_formula_sum 'Sm8 Zn20 Au4'
_cell_length_a 4.3364
_cell_length_b 16.4404
_cell_length_c 8.9760
_cell_angle_alpha 90.00
_cell_angle_beta 90.00
_cell_angle_gamma 90.00
_symmetry_space_group_name_H-M 'C m c m'
_symmetry_Int_Tables_number 63
_symmetry_space_group_name_Hall '-C 2c 2'
loop_
_atom_site_label
_atom_site_fract_x
_atom_site_fract_y
_atom_site_fract_z
Sm1 0.0000 0.0000 0.0000
Sm2 0.0000 0.1979 0.2500
Zn1 0.0000 0.1873 0.6079
Zn2 0.0000 0.3467 0.5207
Zn3 0.0000 0.3946 0.2500
Au1 0.0000 0.4480 0.7500
```

---

# 11
Compound: Sm2Zn2Au3
Source: Alexandria
Functional: PBE
Structure: optimized geometry

Values from the calculation:
- total magnetization (μB per formula unit) = 0.0
- crystal system = orthorhombic
- Fermi-level density of states (states/eV/f.u.) = 3.797
- distance to the lowest polymorph of the same formula (meV per atom) = 0
- ΔH_f (0 K) (eV per atom) = -0.6296

The structure in CIF format:
```
data_Sm2Zn2Au3
_chemical_formula_sum 'Sm8 Zn8 Au12'
_cell_length_a 4.1415
_cell_length_b 19.6029
_cell_length_c 7.5289
_cell_angle_alpha 90.00
_cell_angle_beta 90.00
_cell_angle_gamma 90.00
_symmetry_space_group_name_H-M 'C m c m'
_symmetry_Int_Tables_number 63
_symmetry_space_group_name_Hall '-C 2c 2'
loop_
_atom_site_label
_atom_site_fract_x
_atom_site_fract_y
_atom_site_fract_z
Sm1 0.0000 0.0580 0.2500
Sm2 0.0000 0.1554 0.7500
Zn1 0.0000 0.3079 0.5562
Au1 0.0000 0.2266 0.2500
Au2 0.0000 0.4347 0.0599
```

---

# 12
Compound: SmZn3Au
Source: Alexandria
Functional: PBE
Structure: optimized geometry

Values from the calculation:
- total magnetization (μB per formula unit) = 0.0
- crystal system = monoclinic
- Fermi-level density of states (states/eV/f.u.) = 2.059
- distance to the lowest polymorph of the same formula (meV per atom) = 12
- ΔH_f (0 K) (eV per atom) = -0.4178

The structure in CIF format:
```
data_SmZn3Au
_chemical_formula_sum 'Sm2 Zn6 Au2'
_cell_length_a 5.6655
_cell_length_b 5.4387
_cell_length_c 6.1839
_cell_angle_alpha 90.00
_cell_angle_beta 91.31
_cell_angle_gamma 90.00
_symmetry_space_group_name_H-M 'P 1 21/m 1'
_symmetry_Int_Tables_number 11
loop_
_symmetry_equiv_pos_as_xyz
'x,y,z'
'-x,-y,-z'
'-x,y+1/2,-z'
'x,-y+1/2,z'
loop_
_atom_site_label
_atom_site_fract_x
_atom_site_fract_y
_atom_site_fract_z
Sm1 0.1562 0.2500 0.1684
Zn1 0.0644 0.7500 0.3840
Zn2 0.3475 0.0060 0.6604
Au1 0.3511 0.7500 0.0416
```

---

The lowest ΔH_f (0 K) belongs to which entry?
Sm6ZnAu5

---

Which of these has the lowest Fermi-level density of states?
SmZn2Au3

---

Fermi-level density of states of number 11 (Sm2Zn2Au3)?
3.797 states/eV/f.u.